1.
# LaTbNd (GGA-PBE, relaxed)
data_LaTbNd
_cell_length_a 3.5941
_cell_length_b 20.7260
_cell_length_c 5.5925
_cell_angle_alpha 90.00
_cell_angle_beta 90.00
_cell_angle_gamma 90.00
_space_group_name_H-M_alt 'C m c m'
_space_group_IT_number 63
_space_group_name_Hall '-C 2c 2'
loop_
_atom_site_label
_atom_site_type_symbol
_atom_site_fract_x
_atom_site_fract_y
_atom_site_fract_z
La1 La 0.0000 0.2063 0.2500
Tb1 Tb 0.0000 0.3828 0.2500
Nd1 Nd 0.0000 0.0408 0.2500
# DOS(E_F) = 1.781 states/eV per atom
# DFT total energy = -14.200 eV per formula unit
# Spin magnetization = 0.000 μB/cell
# Distance to the lowest polymorph of the same formula = 2.3 kJ per mole of atoms
# Formation enthalpy at 0 K = 0.0417 eV per atom



2.
# PuUSnAu (GGA-PBE, relaxed)
data_PuUSnAu
_cell_length_a 7.3904
_cell_length_b 7.3904
_cell_length_c 7.3904
_cell_angle_alpha 90.00
_cell_angle_beta 90.00
_cell_angle_gamma 90.00
_space_group_name_H-M_alt 'F -4 3 m'
_space_group_IT_number 216
_space_group_name_Hall 'F -4 2 3'
loop_
_atom_site_label
_atom_site_type_symbol
_atom_site_fract_x
_atom_site_fract_y
_atom_site_fract_z
Pu1 Pu 0.0000 0.0000 0.0000
U1 U 0.0000 0.0000 0.5000
Sn1 Sn 0.2500 0.2500 0.2500
Au1 Au 0.2500 0.2500 0.7500
# DOS(E_F) = 3.695 states/eV per atom
# DFT total energy = -33.309 eV per formula unit
# Spin magnetization = 36.204 μB/cell
# Formation enthalpy at 0 K = -0.1023 eV per atom



3.
# BeNiAsBr2 (GGA-PBE, relaxed)
data_BeNiAsBr2
_cell_length_a 4.7709
_cell_length_b 4.7709
_cell_length_c 4.5610
_cell_angle_alpha 90.00
_cell_angle_beta 90.00
_cell_angle_gamma 90.00
_space_group_name_H-M_alt 'P 4/m m m'
_space_group_IT_number 123
_space_group_name_Hall '-P 4 2'
loop_
_atom_site_label
_atom_site_type_symbol
_atom_site_fract_x
_atom_site_fract_y
_atom_site_fract_z
Be1 Be 0.0000 0.0000 0.0000
Ni1 Ni 0.5000 0.5000 0.5000
As1 As 0.0000 0.0000 0.5000
Br1 Br 0.0000 0.5000 0.0000
# DOS(E_F) = 1.611 states/eV per atom
# DFT total energy = -14.265 eV per formula unit
# Spin magnetization = 0.765 μB/cell
# Distance to the lowest polymorph of the same formula = 0.0 kJ per mole of atoms
# E_form (uncorrected) = 14.9 kcal/mol of atoms